1.
First-principles (PBE-GGA) data for a relaxed structure of Ho2ErZr, as listed in Alexandria via LeMat-Bulk.

Properties
Energy of formation = 0.077 eV/atom

a b c (Å): 3.422 3.422 11.397
angles (deg): 81.36 81.36 60.00
Fractional positions:
Ho (0.754, 0.754, 0.737)
Ho (0.246, 0.246, 0.263)
Zr (0.500, 0.500, 0.500)
Er (0.000, 0.000, 0.000)

***

2.
First-principles (PBE-GGA) data for a relaxed structure of HoErZr2, as listed in Alexandria via LeMat-Bulk.

Properties
Energy of formation = 0.073 eV/atom

a b c (Å): 3.363 5.897 11.274
angles (deg): 74.70 98.52 89.94
Fractional positions:
Ho (0.000, 0.500, 0.500)
Ho (0.500, 0.000, 0.500)
Er (0.132, 0.699, 0.763)
Er (0.868, 0.301, 0.237)
Zr (0.752, 0.765, 0.005)
Zr (0.248, 0.235, 0.995)
Zr (0.632, 0.195, 0.763)
Zr (0.368, 0.805, 0.237)

***

Energy relative to the lowest polymorph listed for this composition values (in meV/atom) by entry order: 25; 0.
VASP energy values (in eV/atom) by entry order: -5.4898; -6.4860.